# Tc2SnPb4 PBE relaxed
data_Tc2SnPb4
_chemical_formula_sum 'Tc4 Sn2 Pb8'
_space_group_name_H-M_alt 'I 4/m m m'
_space_group_IT_number 139
_space_group_name_Hall '-I 4 2'
_cell_length_a 5.755
_cell_length_b 5.755
_cell_length_c 13.725
_cell_angle_alpha 90.00
_cell_angle_beta 90.00
_cell_angle_gamma 90.00
loop_
_atom_site_label
_atom_site_fract_x
_atom_site_fract_y
_atom_site_fract_z
Tc1 0.000 0.000 0.080
Sn1 0.000 0.000 0.500
Pb1 0.000 0.000 0.283
Pb2 0.000 0.500 0.000
# Calculated density, kg/m3: 8354
# Crystal system: tetragonal
# Electronic total energy, eV/cell: -64.8
# Energy of formation, kcal/mol of atoms: 23.6

---

# Tc2Sn2Pb PBE relaxed
data_Tc2Sn2Pb
_chemical_formula_sum 'Tc4 Sn4 Pb2'
_space_group_name_H-M_alt 'I 4/m m m'
_space_group_IT_number 139
_space_group_name_Hall '-I 4 2'
_cell_length_a 3.611
_cell_length_b 3.611
_cell_length_c 18.058
_cell_angle_alpha 90.00
_cell_angle_beta 90.00
_cell_angle_gamma 90.00
loop_
_atom_site_label
_atom_site_fract_x
_atom_site_fract_y
_atom_site_fract_z
Tc1 0.000 0.500 0.250
Sn1 0.000 0.000 0.126
Pb1 0.000 0.000 0.500
# Calculated density, kg/m3: 9034
# Crystal system: tetragonal
# Electronic total energy, eV/cell: -61.3
# Energy of formation, kcal/mol of atoms: 8.2

---

# Tc3SnPb PBE relaxed
data_Tc3SnPb
_chemical_formula_sum 'Tc3 Sn1 Pb1'
_space_group_name_H-M_alt 'P m -3 m'
_space_group_IT_number 221
_space_group_name_Hall '-P 4 2 3'
_cell_length_a 4.913
_cell_length_b 4.913
_cell_length_c 4.913
_cell_angle_alpha 90.00
_cell_angle_beta 90.00
_cell_angle_gamma 90.00
loop_
_atom_site_label
_atom_site_fract_x
_atom_site_fract_y
_atom_site_fract_z
Tc1 0.000 0.000 0.500
Sn1 0.000 0.000 0.000
Pb1 0.500 0.500 0.500
# Calculated density, kg/m3: 8680
# Crystal system: cubic
# Electronic total energy, eV/cell: -29.7
# Energy of formation, kcal/mol of atoms: 42.1

---

# TlTcSn2Pb PBE relaxed
data_TlTcSn2Pb
_chemical_formula_sum 'Tl1 Tc1 Sn2 Pb1'
_space_group_name_H-M_alt 'P 4/m m m'
_space_group_IT_number 123
_space_group_name_Hall '-P 4 2'
_cell_length_a 5.225
_cell_length_b 5.225
_cell_length_c 5.377
_cell_angle_alpha 90.00
_cell_angle_beta 90.00
_cell_angle_gamma 90.00
loop_
_atom_site_label
_atom_site_fract_x
_atom_site_fract_y
_atom_site_fract_z
Tl1 0.000 0.000 0.000
Tc1 0.500 0.500 0.500
Sn1 0.000 0.500 0.500
Pb1 0.500 0.500 0.000
# Calculated density, kg/m3: 8452
# Crystal system: tetragonal
# Electronic total energy, eV/cell: -23.2
# Energy of formation, kcal/mol of atoms: 5.5

---

# Tl2TcSnPb PBE relaxed
data_Tl2TcSnPb
_chemical_formula_sum 'Tl2 Tc1 Sn1 Pb1'
_space_group_name_H-M_alt 'P 4/m m m'
_space_group_IT_number 123
_space_group_name_Hall '-P 4 2'
_cell_length_a 5.371
_cell_length_b 5.371
_cell_length_c 5.317
_cell_angle_alpha 90.00
_cell_angle_beta 90.00
_cell_angle_gamma 90.00
loop_
_atom_site_label
_atom_site_fract_x
_atom_site_fract_y
_atom_site_fract_z
Tl1 0.000 0.500 0.000
Tc1 0.000 0.000 0.000
Sn1 0.500 0.500 0.500
Pb1 0.000 0.000 0.500
# Calculated density, kg/m3: 9015
# Crystal system: tetragonal
# Electronic total energy, eV/cell: -20.0
# Energy of formation, kcal/mol of atoms: 13.1

---

# ZrTc2SnPb PBE relaxed
data_ZrTc2SnPb
_chemical_formula_sum 'Zr1 Tc2 Sn1 Pb1'
_space_group_name_H-M_alt 'P 4/m m m'
_space_group_IT_number 123
_space_group_name_Hall '-P 4 2'
_cell_length_a 4.917
_cell_length_b 4.917
_cell_length_c 5.614
_cell_angle_alpha 90.00
_cell_angle_beta 90.00
_cell_angle_gamma 90.00
loop_
_atom_site_label
_atom_site_fract_x
_atom_site_fract_y
_atom_site_fract_z
Zr1 0.000 0.000 0.000
Tc1 0.000 0.500 0.000
Sn1 0.500 0.500 0.500
Pb1 0.000 0.000 0.500
# Calculated density, kg/m3: 7500
# Crystal system: tetragonal
# Electronic total energy, eV/cell: -29.9
# Energy of formation, kcal/mol of atoms: 32.7

---

# Sn3TePb PBE relaxed
data_Sn3TePb
_chemical_formula_sum 'Sn3 Te1 Pb1'
_space_group_name_H-M_alt 'P m -3 m'
_space_group_IT_number 221
_space_group_name_Hall '-P 4 2 3'
_cell_length_a 5.830
_cell_length_b 5.830
_cell_length_c 5.830
_cell_angle_alpha 90.00
_cell_angle_beta 90.00
_cell_angle_gamma 90.00
loop_
_atom_site_label
_atom_site_fract_x
_atom_site_fract_y
_atom_site_fract_z
Sn1 0.000 0.000 0.500
Te1 0.000 0.000 0.000
Pb1 0.500 0.500 0.500
# Calculated density, kg/m3: 5790
# Raw formation energy, eV/atom: 0.53
# Crystal system: cubic
# Electronic total energy, eV/cell: -16.2

---

# Sn2Te4Pb PBE relaxed
data_Sn2Te4Pb
_chemical_formula_sum 'Sn2 Te4 Pb1'
_space_group_name_H-M_alt 'P -1'
_space_group_IT_number 2
_space_group_name_Hall '-P 1'
_cell_length_a 4.309
_cell_length_b 7.434
_cell_length_c 8.803
_cell_angle_alpha 114.31
_cell_angle_beta 104.11
_cell_angle_gamma 90.13
loop_
_atom_site_label
_atom_site_fract_x
_atom_site_fract_y
_atom_site_fract_z
Sn1 0.249 0.229 0.497
Te1 0.134 0.466 0.269
Te2 0.371 0.029 0.743
Pb1 0.500 0.500 0.000
# Calculated density, kg/m3: 6406
# Raw formation energy, eV/atom: -0.22
# Crystal system: triclinic
# Electronic total energy, eV/cell: -25.8

---

# SnTePb2 PBE relaxed
data_SnTePb2
_chemical_formula_sum 'Sn1 Te1 Pb2'
_space_group_name_H-M_alt 'P 4/m m m'
_space_group_IT_number 123
_space_group_name_Hall '-P 4 2'
_cell_length_a 4.207
_cell_length_b 4.207
_cell_length_c 6.953
_cell_angle_alpha 90.00
_cell_angle_beta 90.00
_cell_angle_gamma 90.00
loop_
_atom_site_label
_atom_site_fract_x
_atom_site_fract_y
_atom_site_fract_z
Sn1 0.000 0.000 0.000
Te1 0.000 0.000 0.500
Pb1 0.500 0.500 0.252
# Calculated density, kg/m3: 8916
# Raw formation energy, eV/atom: -0.02
# Crystal system: tetragonal
# Electronic total energy, eV/cell: -14.7

---

# SnTePb2 PBE relaxed
data_SnTePb2
_chemical_formula_sum 'Sn3 Te3 Pb6'
_space_group_name_H-M_alt 'R -3 m'
_space_group_IT_number 166
_space_group_name_Hall '-R 3 2"'
_cell_length_a 4.3294
_cell_length_b 4.3294
_cell_length_c 24.4447
_cell_angle_alpha 90.00
_cell_angle_beta 90.00
_cell_angle_gamma 120.00
loop_
_atom_site_label
_atom_site_fract_x
_atom_site_fract_y
_atom_site_fract_z
Sn1 0.0000 0.0000 0.0000
Te1 0.0000 0.0000 0.5000
Pb1 0.0000 0.0000 0.2506
# Calculated density, kg/m3: 8295
# Raw formation energy, eV/atom: -0.02
# Crystal system: trigonal
# Electronic total energy, eV/cell: -43.9

---

# SnTe3Pb2 PBE relaxed
data_SnTe3Pb2
_chemical_formula_sum 'Sn2 Te6 Pb4'
_space_group_name_H-M_alt 'I m m m'
_space_group_IT_number 71
_space_group_name_Hall '-I 2 2'
_cell_length_a 4.595
_cell_length_b 6.504
_cell_length_c 13.814
_cell_angle_alpha 90.00
_cell_angle_beta 90.00
_cell_angle_gamma 90.00
loop_
_atom_site_label
_atom_site_fract_x
_atom_site_fract_y
_atom_site_fract_z
Sn1 0.000 0.000 0.000
Te1 0.000 0.500 0.000
Te2 0.000 0.500 0.338
Pb1 0.000 0.000 0.332
# Calculated density, kg/m3: 7367
# Raw formation energy, eV/atom: -0.36
# Crystal system: orthorhombic
# Electronic total energy, eV/cell: -46.1

---

# SnTe6Pb5 PBE relaxed
data_SnTe6Pb5
_chemical_formula_sum 'Sn2 Te12 Pb10'
_space_group_name_H-M_alt 'C 1 2/m 1'
_space_group_IT_number 12
_space_group_name_Hall '-C 2y'
_cell_length_a 7.998
_cell_length_b 13.836
_cell_length_c 7.998
_cell_angle_alpha 90.00
_cell_angle_beta 109.42
_cell_angle_gamma 90.00
loop_
_atom_site_label
_atom_site_fract_x
_atom_site_fract_y
_atom_site_fract_z
Sn1 0.000 0.000 0.000
Te1 0.245 0.000 0.751
Te2 0.246 0.164 0.247
Pb1 0.000 0.168 0.500
Pb2 0.000 0.334 0.000
Pb3 0.000 0.500 0.500
# Calculated density, kg/m3: 7640
# Raw formation energy, eV/atom: -0.39
# Crystal system: monoclinic
# Electronic total energy, eV/cell: -92.1

---

# SnTePb2 PBE relaxed
data_SnTePb2
_chemical_formula_sum 'Sn4 Te4 Pb8'
_space_group_name_H-M_alt 'I -4 2 d'
_space_group_IT_number 122
_space_group_name_Hall 'I -4 2bw'
_cell_length_a 6.872
_cell_length_b 6.872
_cell_length_c 15.141
_cell_angle_alpha 90.00
_cell_angle_beta 90.00
_cell_angle_gamma 90.00
loop_
_atom_site_label
_atom_site_fract_x
_atom_site_fract_y
_atom_site_fract_z
Sn1 0.000 0.000 0.000
Te1 0.000 0.000 0.500
Pb1 0.238 0.250 0.125
# Calculated density, kg/m3: 6138
# Raw formation energy, eV/atom: 0.13
# Crystal system: tetragonal
# Electronic total energy, eV/cell: -56.2